A plane-wave DFT calculation with PBE was carried out for a geometry-optimized CsK2VSn structure.

Results
DFT formation energy: 0.42 eV per atom

```
5
Lattice="-2.894 4.740 -3.496 -3.799 0.524 3.856 3.697 4.494 3.032" Properties=species:S:1:pos:R:3 pbc="T T T"
V 0.000 0.000 0.000
K -1.447 2.370 -1.748
Cs -1.498 4.879 1.696
K 1.849 2.247 1.516
Sn -1.899 0.262 1.928
```

=====

A plane-wave DFT calculation with PBE was carried out for a geometry-optimized CsK2ZnSn structure.

Results
DFT formation energy: 0.04 eV per atom

```
5
Lattice="7.022 0.000 0.000 0.000 7.022 0.000 0.000 0.000 5.287" Properties=species:S:1:pos:R:3 pbc="T T T"
Zn 0.000 0.000 2.643
Sn 0.000 0.000 0.000
K 3.511 0.000 0.000
K 0.000 3.511 0.000
Cs 3.511 3.511 2.643
```

=====

A plane-wave DFT calculation with PBE was carried out for a geometry-optimized Cs4K2ZnSn2 structure.

Results
DFT formation energy: -0.04 eV per atom

```
9
Lattice="-6.682 0.680 -2.999 -3.857 -8.121 1.119 -5.740 -2.184 6.661" Properties=species:S:1:pos:R:3 pbc="T T T"
Cs -11.422 -4.316 3.968
Cs -4.857 -5.308 0.811
Sn -3.105 -1.414 0.459
Cs -5.825 -2.255 3.662
Zn -3.341 0.340 -1.500
K -7.696 -6.772 4.640
Cs -10.453 -7.370 1.118
Sn -13.174 -8.211 4.320
K -8.583 -2.853 0.140
```

=====

A plane-wave DFT calculation with PBE was carried out for a geometry-optimized CsK2ZnSn structure.

Results
DFT formation energy: 0.01 eV per atom

```
5
Lattice="6.656 0.000 0.000 0.000 6.656 0.000 0.000 0.000 5.233" Properties=species:S:1:pos:R:3 pbc="T T T"
Zn 0.000 0.000 0.000
K 0.000 3.328 0.000
K 3.328 0.000 0.000
Cs 3.328 3.328 2.616
Sn 0.000 0.000 2.616
```

=====

A plane-wave DFT calculation with PBE was carried out for a geometry-optimized CsK2Sr structure.

Results
DFT formation energy: 0.09 eV per atom

```
4
Lattice="-0.183 0.236 4.655 2.069 -4.170 0.293 12.390 6.159 0.176" Properties=species:S:1:pos:R:3 pbc="T T T"
K 2.744 1.364 0.039
K 9.646 4.795 0.137
Sr 0.943 -1.967 2.474
Cs 7.138 1.112 2.562
```

=====

A plane-wave DFT calculation with PBE was carried out for a geometry-optimized Cs2KSr structure.

Results
DFT formation energy: 0.13 eV per atom

```
4
Lattice="-2.527 -3.334 2.945 4.082 -6.147 -3.455 5.790 0.643 5.696" Properties=species:S:1:pos:R:3 pbc="T T T"
K 3.673 -4.419 2.593
Cs 2.041 -3.073 -1.728
Cs 2.895 0.322 2.848
Sr -1.263 -1.667 1.473
```

=====

A plane-wave DFT calculation with PBE was carried out for a geometry-optimized CsKSr structure.

Results
DFT formation energy: 0.12 eV per atom

```
3
Lattice="4.632 0.000 0.000 -2.316 4.011 0.000 0.000 0.000 11.982" Properties=species:S:1:pos:R:3 pbc="T T T"
K 2.316 1.337 3.785
Sr 0.000 0.000 0.109
Cs 0.000 2.674 8.089
```

=====

A plane-wave DFT calculation with PBE was carried out for a geometry-optimized CsKSr4 structure.

Results
DFT formation energy: 0.15 eV per atom

```
6
Lattice="-0.533 -2.472 7.951 4.804 -6.238 2.760 6.257 1.580 5.288" Properties=species:S:1:pos:R:3 pbc="T T T"
Sr 6.582 -4.458 10.003
K 0.000 0.000 0.000
Sr 6.849 -3.220 6.021
Sr 4.176 -1.333 8.620
Cs 2.632 -1.782 4.000
Sr 3.448 -5.249 7.354
```

=====

A plane-wave DFT calculation with PBE was carried out for a geometry-optimized Cs2K2Sr structure.

Results
DFT formation energy: 0.22 eV per atom

```
5
Lattice="6.442 0.000 0.000 0.000 6.442 0.000 3.221 3.221 10.477" Properties=species:S:1:pos:R:3 pbc="T T T"
Cs 3.221 6.442 5.239
K 6.442 6.442 8.609
K 3.221 3.221 1.869
Cs 6.442 3.221 5.239
Sr 0.000 0.000 0.000
```

=====

A plane-wave DFT calculation with PBE was carried out for a geometry-optimized Cs2KSr structure.

Results
DFT formation energy: 0.11 eV per atom

```
4
Lattice="4.751 0.000 0.000 0.000 4.751 0.000 0.000 0.000 14.823" Properties=species:S:1:pos:R:3 pbc="T T T"
K 2.375 2.375 0.000
Cs 0.000 0.000 3.871
Sr 2.375 2.375 7.411
Cs 0.000 0.000 10.952
```

=====

A plane-wave DFT calculation with PBE was carried out for a geometry-optimized Cs2K2Sr structure.

Results
DFT formation energy: 0.17 eV per atom

```
10
Lattice="12.831 0.000 0.000 0.000 12.831 0.000 0.000 0.000 4.987" Properties=species:S:1:pos:R:3 pbc="T T T"
K 2.152 8.568 2.494
Sr 0.000 0.000 0.000
Cs 8.166 1.750 0.000
Cs 1.750 4.665 0.000
Cs 11.081 8.166 0.000
K 4.263 2.152 2.494
K 10.679 4.263 2.494
Sr 6.416 6.416 0.000
Cs 4.665 11.081 0.000
K 8.568 10.679 2.494
```

=====

A plane-wave DFT calculation with PBE was carried out for a geometry-optimized CsK2Sr2 structure.

Results
DFT formation energy: 0.16 eV per atom

```
10
Lattice="-5.960 -0.968 11.162 -9.530 -6.209 -5.627 2.114 -3.958 0.786" Properties=species:S:1:pos:R:3 pbc="T T T"
Cs 0.000 0.000 0.000
K -2.550 -3.383 3.027
Sr -4.785 -1.320 6.226
Cs -7.745 -3.588 2.767
Sr -4.349 -2.494 -0.858
K -6.427 -6.343 -1.449
Sr -11.141 -4.683 6.392
Sr -10.706 -5.857 -0.691
K -6.949 -4.791 7.770
K -10.827 -7.752 3.293
```